The following is a DFT calculation (PBE) of Li3TbPu2Te6 after structural relaxation.

a b c (Å): 7.597 7.597 7.463
angles (deg): 99.75 99.75 119.99
Site moments in Bohr magnetons follow the coordinates.
Positions (direct):
1 Pu 0.667 0.333 0.000  5.21
2 Te 0.583 0.914 0.743  -0.08
3 Pu 0.333 0.667 0.000  5.21
4 Tb 0.000 0.000 0.000  0.02
5 Li 0.166 0.834 0.500  -0.01
6 Li 0.834 0.166 0.500  -0.01
7 Te 0.914 0.583 0.743  -0.08
8 Te 0.417 0.086 0.257  -0.08
9 Te 0.246 0.246 0.742  -0.08
10 Te 0.086 0.417 0.257  -0.08
11 Te 0.754 0.754 0.258  -0.08
12 Li 0.500 0.500 0.500  -0.01

Calculated values
Raw formation energy ... -1.100 eV/atom
DOS(E_F) ... 2.21 states/eV per atom
SG ... C2/m, No. 12